Compound: Pr2Nd5Ag4
Source: Alexandria via LeMat-Bulk
Functional: GGA-PBE
Structure: relaxed

Structure (POSCAR):
```
Pr2Nd5Ag4
1.0
12.816 -1.765 0.000
12.816 1.765 0.000
-0.153 0.000 7.521
Pr Nd Ag
2 5 4
direct
0.096 0.096 0.184 Pr
0.904 0.904 0.816 Pr
0.136 0.136 0.644 Nd
0.233 0.233 0.286 Nd
0.500 0.500 0.500 Nd
0.767 0.767 0.714 Nd
0.864 0.864 0.356 Nd
0.027 0.027 0.837 Ag
0.324 0.324 0.024 Ag
0.676 0.676 0.976 Ag
0.973 0.973 0.163 Ag
```

Summary:
formation energy = 0.05 eV per atom
total moment = 0.002 μB/f.u.
electronic total energy = -4.03 eV/atom
volume = 30.939 A^3/atom